! CaYTe2 PBE-GGA relaxed; values from VASP
&SYSTEM
  ibrav = 0, nat = 16, ntyp = 3
/
ATOMIC_SPECIES
Ca 40.08 Ca.upf
Y 88.91 Y.upf
Te 127.60 Te.upf
CELL_PARAMETERS angstrom
7.702 0.000 0.000
0.000 7.702 0.000
0.000 0.000 7.702
ATOMIC_POSITIONS crystal
Ca 0.000 0.000 0.000
Ca 0.000 0.500 0.500
Ca 0.500 0.000 0.500
Ca 0.500 0.500 0.000
Y 0.000 0.000 0.500
Y 0.000 0.500 0.000
Y 0.500 0.000 0.000
Y 0.500 0.500 0.500
Te 0.250 0.250 0.250
Te 0.250 0.250 0.750
Te 0.250 0.750 0.250
Te 0.250 0.750 0.750
Te 0.750 0.250 0.250
Te 0.750 0.250 0.750
Te 0.750 0.750 0.250
Te 0.750 0.750 0.750
! Polymorph energy (0 for the lowest one): 0.270 eV/atom
! Crystal system: cubic
! Magnetic moment: 0.0000 μB per atom
! Theoretical density: 5.58 g cm⁻³
! Uncorrected formation energy: -1200 meV per atom
! N(E_F): 0.71 states/eV per atom